Here is a geometry-optimized Mn2AsOs structure from Alexandria. Energies are from PBE.

ΔH_f (0 K) = 0.1881 eV/atom
M_tot = 3.082 μB per formula unit
DOS(E_F) = 3.5 states/eV/f.u.

The structure in POSCAR format:
```
Mn2AsOs
1.0
4.854 -0.005 0.009
3.924 2.857 0.009
1.808 0.587 3.738
Mn Os As
2 1 1
Cartesian
5.393 1.752 1.824 Mn
8.678 2.820 0.072 Mn
7.939 2.580 2.817 Os
2.646 0.860 0.939 As
```